[1]
The following is a PBE calculation of a relaxed structure of CrGePd6, from Alexandria via LeMat-Bulk.

a = 7.3191 Å, b = 7.3162 Å, c = 5.0548 Å
α = 43.43°, β = 43.48°, γ = 59.82°
Each line ends with the local moment (μB).
Positions (direct):
Pd: 0.9376 0.5683 0.2446  -0.01
Pd: 0.7505 0.0626 0.7565  -0.01
Pd: 0.5699 0.2493 0.2444  -0.01
Pd: 0.4301 0.7507 0.7556  -0.01
Pd: 0.2495 0.9374 0.2435  -0.01
Pd: 0.0624 0.4317 0.7554  -0.01
Ge: 0.0000 0.0000 0.0000  -0.01
Cr: 0.5000 0.5000 0.5000  3.08

Its space-group type is P-1 (2). The value obtained for the density of states at the Fermi level is 7.129 states/eV/f.u. As for the calculated volume: 15.99 Å³ per atom. Its formation energy is -0.091 eV per atom.


[2]
The following is a PBE calculation of a relaxed structure of CrGePdPt, from Alexandria via LeMat-Bulk.

a = 4.4104 Å, b = 4.4104 Å, c = 4.4104 Å
α = 60.00°, β = 60.00°, γ = 60.00°
Each line ends with the local moment (μB).
Positions (direct):
Ge: 0.2500 0.2500 0.2500  -0.04
Pd: 0.0000 0.0000 0.0000  0.05
Pt: 0.5000 0.5000 0.5000  0.04
Cr: 0.7500 0.7500 0.7500  3.20

Its space-group type is F-43m (216). Its polymorph energy (0 for the lowest one) is 0.0422 eV/atom. The value obtained for the density of states at the Fermi level is 2.831 states/eV/f.u. As for the calculated volume: 15.17 Å³ per atom. Its formation energy is -0.198 eV per atom.


[3]
The following is a PBE calculation of a relaxed structure of CrGePdPt, from Alexandria via LeMat-Bulk.

a = 3.9910 Å, b = 3.9774 Å, c = 3.8156 Å
α = 90.00°, β = 90.00°, γ = 90.00°
Each line ends with the local moment (μB).
Positions (direct):
Pd: 0.5000 0.0000 0.9974  0.14
Ge: 0.0000 0.0000 0.4980  -0.07
Pt: 0.0000 0.5000 0.9982  0.14
Cr: 0.5000 0.5000 0.4978  3.27

Its space-group type is Pmmm (47). Its polymorph energy (0 for the lowest one) is 0.0000 eV/atom. The value obtained for the density of states at the Fermi level is 2.504 states/eV/f.u. As for the calculated volume: 15.14 Å³ per atom. Its formation energy is -0.240 eV per atom.